AsC7: optimized geometry, PBE.

Output
ΔH_f (0 K): 4.095 eV per atom

Cell and atoms, written as CIF:
```
data_AsC7
_symmetry_space_group_name_H-M 'F m -3 m'
_symmetry_Int_Tables_number 225
_symmetry_space_group_name_Hall '-F 4 2 3'
_cell_length_a 6.5610
_cell_length_b 6.5610
_cell_length_c 6.5610
_cell_angle_alpha 90.00
_cell_angle_beta 90.00
_cell_angle_gamma 90.00
loop_
_atom_site_label
_atom_site_type_symbol
_atom_site_fract_x
_atom_site_fract_y
_atom_site_fract_z
As1 As 0.0000 0.0000 0.0000
C1 C 0.0000 0.0000 0.5000
C2 C 0.0000 0.2500 0.2500
```

KSrBr2: optimized geometry, PBE.

Output
DFT total energy: -3.055 eV/atom

Cell and atoms, written as CIF:
```
data_KSrBr2
_symmetry_space_group_name_H-M 'P 1 2/m 1'
_symmetry_Int_Tables_number 10
_symmetry_space_group_name_Hall '-P 2y'
_cell_length_a 4.3930
_cell_length_b 4.2613
_cell_length_c 8.3677
_cell_angle_alpha 90.00
_cell_angle_beta 90.05
_cell_angle_gamma 90.00
loop_
_atom_site_label
_atom_site_type_symbol
_atom_site_fract_x
_atom_site_fract_y
_atom_site_fract_z
K1 K 0.0000 0.0000 0.0000
Sr1 Sr 0.5000 0.0000 0.5000
Br1 Br 0.4995 0.5000 0.2248
```

DyTm4Th3: optimized geometry, PBE.

Output
ΔH_f (0 K): 0.036 eV per atom

Cell and atoms, written as CIF:
```
data_DyTm4Th3
_symmetry_space_group_name_H-M 'P m m n'
_symmetry_Int_Tables_number 59
_cell_length_a 4.9976
_cell_length_b 10.0176
_cell_length_c 9.9972
_cell_angle_alpha 90.00
_cell_angle_beta 90.00
_cell_angle_gamma 90.00
loop_
_symmetry_equiv_pos_as_xyz
'x,y,z'
'-x,-y,-z'
'-x+1/2,-y+1/2,z'
'x+1/2,y+1/2,-z'
'x+1/2,-y,-z'
'-x+1/2,y,z'
'-x,y+1/2,-z'
'x,-y+1/2,z'
loop_
_atom_site_label
_atom_site_type_symbol
_atom_site_fract_x
_atom_site_fract_y
_atom_site_fract_z
Dy1 Dy 0.2500 0.2500 0.1253
Tm1 Tm 0.2500 0.2500 0.6266
Tm2 Tm 0.2500 0.5010 0.3757
Tm3 Tm 0.2500 0.7500 0.6236
Th1 Th 0.2500 0.0022 0.8747
Th2 Th 0.2500 0.7500 0.1266
```

BaZr2P2N6: optimized geometry, PBE.

Output
DFT total energy: -8.192 eV/atom

Cell and atoms, written as CIF:
```
data_BaZr2P2N6
_symmetry_space_group_name_H-M 'C 1 2/m 1'
_symmetry_Int_Tables_number 12
_symmetry_space_group_name_Hall '-C 2y'
_cell_length_a 10.8413
_cell_length_b 5.9772
_cell_length_c 6.2785
_cell_angle_alpha 90.00
_cell_angle_beta 123.42
_cell_angle_gamma 90.00
loop_
_atom_site_label
_atom_site_type_symbol
_atom_site_fract_x
_atom_site_fract_y
_atom_site_fract_z
Ba1 Ba 0.0000 0.0000 0.0000
Zr1 Zr 0.1875 0.5000 0.3084
P1 P 0.1083 0.5000 0.6764
N1 N 0.0660 0.5000 0.8872
N2 N 0.1942 0.2874 0.6493
```

BaRhPb2: optimized geometry, PBE.

Output
ΔH_f (0 K): -0.140 eV per atom

Cell and atoms, written as CIF:
```
data_BaRhPb2
_symmetry_space_group_name_H-M 'I m m 2'
_symmetry_Int_Tables_number 44
_symmetry_space_group_name_Hall 'I 2 -2'
_cell_length_a 3.7548
_cell_length_b 4.6050
_cell_length_c 13.8570
_cell_angle_alpha 90.00
_cell_angle_beta 90.00
_cell_angle_gamma 90.00
loop_
_atom_site_label
_atom_site_type_symbol
_atom_site_fract_x
_atom_site_fract_y
_atom_site_fract_z
Ba1 Ba 0.0000 0.0000 0.0000
Rh1 Rh 0.0000 0.5000 0.2912
Pb1 Pb 0.0000 0.0000 0.6441
Pb2 Pb 0.0000 0.5000 0.8049
```

MgSbCl2: optimized geometry, PBE.

Output
DFT total energy: -3.265 eV/atom

Cell and atoms, written as CIF:
```
data_MgSbCl2
_symmetry_space_group_name_H-M 'C m m m'
_symmetry_Int_Tables_number 65
_symmetry_space_group_name_Hall '-C 2 2'
_cell_length_a 3.5380
_cell_length_b 5.7094
_cell_length_c 12.5753
_cell_angle_alpha 90.00
_cell_angle_beta 90.00
_cell_angle_gamma 90.00
loop_
_atom_site_label
_atom_site_type_symbol
_atom_site_fract_x
_atom_site_fract_y
_atom_site_fract_z
Mg1 Mg 0.0000 0.0000 0.0000
Sb1 Sb 0.0000 0.0000 0.5000
Cl1 Cl 0.0000 0.5000 0.1283
```